Entry from the Alexandria database: a geometry-optimized Ba2SiW structure (PBE).

Geometry as extended XYZ:
```
4
Lattice="5.009 0.000 0.000 0.000 5.007 0.000 0.000 0.000 4.800" Properties=species:S:1:pos:R:3 pbc="T T T"
Ba 0.000 0.000 0.000
Ba 2.505 2.504 0.000
Si 2.505 0.000 2.400
W 0.000 2.504 2.400
```

Symmetry = P4/mmm, No. 123
Spin magnetization = 3.19 μB per cell
Formation energy from raw total energies = 102.0 kJ per mole of atoms